Below is a geometry-optimized Mn5C structure, with properties calculated at the PBE-GGA level.

Computed properties:
Theoretical density, g/cm³: 7.9
N(E_F), states/eV/f.u.: 6.76
E_form, meV/atom: 448

Cell: 3.566 9.514 3.573 Å, 90.00 90.00 90.00°
Space group Cmmm (No. 65)
One atom of each set of equivalent atoms:
1 Mn 0.000 0.000 0.000 x2
2 Mn 0.000 0.159 0.500 x4
3 Mn 0.000 0.339 0.000 x4
4 C 0.000 0.500 0.500 x2


Below is a geometry-optimized Mn4C3 structure, with properties calculated at the PBE-GGA level.

Computed properties:
Theoretical density, g/cm³: 7.2
N(E_F), states/eV/f.u.: 6.33
E_form, meV/atom: 470

Cell: 2.631 2.631 17.130 Å, 90.00 90.00 90.00°
Space group I4/mmm (No. 139)
One atom of each set of equivalent atoms:
1 Mn 0.000 0.000 0.065 x4
2 Mn 0.000 0.000 0.326 x4
3 C 0.000 0.000 0.203 x4
4 C 0.000 0.000 0.500 x2


Below is a geometry-optimized Mn3C structure, with properties calculated at the PBE-GGA level.

Computed properties:
Theoretical density, g/cm³: 8.0
N(E_F), states/eV/f.u.: 4.54
E_form, meV/atom: -67

Cell: 4.953 6.698 4.440 Å, 90.00 90.00 90.00°
Space group Pnma (No. 62)
One atom of each set of equivalent atoms:
1 Mn 0.031 0.250 0.159 x4
2 Mn 0.185 0.066 0.657 x8
3 C 0.121 0.750 0.435 x4


Below is a geometry-optimized MnC2 structure, with properties calculated at the PBE-GGA level.

Computed properties:
Theoretical density, g/cm³: 5.1
N(E_F), states/eV/f.u.: 1.74
E_form, meV/atom: 770

Cell: 10.874 7.000 2.681 Å, 90.00 90.00 90.00°
Space group Ama2 (No. 40)
One atom of each set of equivalent atoms:
1 Mn 0.079 0.146 0.000 x8
2 C 0.000 0.000 0.509 x4
3 C 0.250 0.091 0.638 x4
4 C 0.250 0.286 0.750 x4
5 C 0.250 0.483 0.646 x4


Below is a geometry-optimized MnC8 structure, with properties calculated at the PBE-GGA level.

Computed properties:
Theoretical density, g/cm³: 2.8
N(E_F), states/eV/f.u.: 4.22
E_form, meV/atom: 1697

Cell: 5.418 5.418 6.066 Å, 90.00 90.00 90.00°
Space group I4/mmm (No. 139)
One atom of each set of equivalent atoms:
1 Mn 0.000 0.000 0.000 x2
2 C 0.000 0.368 0.000 x8
3 C 0.249 0.249 0.500 x8


Below is a geometry-optimized MnC2 structure, with properties calculated at the PBE-GGA level.

Computed properties:
Theoretical density, g/cm³: 4.0
N(E_F), states/eV/f.u.: 2.15
E_form, meV/atom: 919

Cell: 3.2446 3.2446 10.7358 Å, 90.00 90.00 120.00°
Space group R3m (No. 160, hexagonal axes)
One atom of each set of equivalent atoms:
1 Mn 0.0000 0.0000 0.0000 x3
2 C 0.0000 0.0000 0.1576 x3
3 C 0.0000 0.0000 0.2851 x3


Below is a geometry-optimized MnC2 structure, with properties calculated at the PBE-GGA level.

Computed properties:
Theoretical density, g/cm³: 5.9
N(E_F), states/eV/f.u.: 1.20
E_form, meV/atom: 1107

Cell: 2.541 13.078 2.686 Å, 90.00 90.00 90.00°
Space group Cmmm (No. 65)
One atom of each set of equivalent atoms:
1 Mn 0.000 0.125 0.000 x4
2 C 0.000 0.000 0.500 x2
3 C 0.000 0.280 0.500 x4
4 C 0.000 0.500 0.000 x2


Below is a geometry-optimized MnC2 structure, with properties calculated at the PBE-GGA level.

Computed properties:
Theoretical density, g/cm³: 5.4
N(E_F), states/eV/f.u.: 1.10
E_form, meV/atom: 613

Cell: 5.632 2.552 3.486 Å, 90.00 102.68 90.00°
Space group C2/m (No. 12)
One atom of each set of equivalent atoms:
1 Mn 0.000 0.000 0.000 x2
2 C 0.242 0.000 0.601 x4


Below is a geometry-optimized MnC2 structure, with properties calculated at the PBE-GGA level.

Computed properties:
Theoretical density, g/cm³: 4.4
N(E_F), states/eV/f.u.: 1.47
E_form, meV/atom: 1030

Cell: 4.909 4.909 4.909 Å, 90.00 90.00 90.00°
Space group Pa-3 (No. 205)
One atom of each set of equivalent atoms:
1 Mn 0.000 0.000 0.000 x4
2 C 0.078 0.578 0.922 x8


Below is a geometry-optimized MnC4 structure, with properties calculated at the PBE-GGA level.

Computed properties:
Theoretical density, g/cm³: 4.0
N(E_F), states/eV/f.u.: 2.59
E_form, meV/atom: 2538

Cell: 4.397 4.397 4.397 Å, 90.00 90.00 90.00°
Space group Im-3m (No. 229)
One atom of each set of equivalent atoms:
1 Mn 0.000 0.000 0.000 x2
2 C 0.250 0.250 0.250 x8


Below is a geometry-optimized MnC structure, with properties calculated at the PBE-GGA level.

Computed properties:
Theoretical density, g/cm³: 5.2
N(E_F), states/eV/f.u.: 1.71
E_form, meV/atom: 764

Cell: 2.686 2.686 2.941 Å, 90.00 90.00 90.00°
Space group P4/mmm (No. 123)
One atom of each set of equivalent atoms:
1 Mn 0.000 0.000 0.000 x1
2 C 0.500 0.500 0.000 x1


Below is a geometry-optimized MnC2 structure, with properties calculated at the PBE-GGA level.

Computed properties:
Theoretical density, g/cm³: 4.5
N(E_F), states/eV/f.u.: 1.75
E_form, meV/atom: 1486

Cell: 4.763 4.763 2.552 Å, 90.00 90.00 90.00°
Space group P4_2/mnm (No. 136)
One atom of each set of equivalent atoms:
1 Mn 0.000 0.000 0.000 x2
2 C 0.215 0.215 0.500 x4


Question: The highest N(E_F) belongs to which entry?
Answer: Mn5C